VASP calculation (PBE-GGA) on a relaxed TmZrRhAu crystal.

Calculated values
- DFT total energy: -105.9 eV for the cell shown

Unit cell a=6.833 b=6.833 c=6.833 alpha=90.00 beta=90.00 gamma=90.00
Space group F-43m (No. 216)
Symmetry-distinct sites (fractional):
Tm1 0.000 0.000 0.000 x4
Zr1 0.000 0.000 0.500 x4
Rh1 0.250 0.250 0.750 x4
Au1 0.250 0.250 0.250 x4



VASP calculation (PBE-GGA) on a relaxed URhAu crystal.

Calculated values
- ΔE to the lowest computed polymorph: 11 kJ/mol of formula units

Unit cell a=3.280 b=3.280 c=10.879 alpha=90.00 beta=90.00 gamma=90.00
Space group I4mm (No. 107)
Symmetry-distinct sites (fractional):
U1 0.000 0.000 0.000 x2
Rh1 0.000 0.000 0.359 x2
Au1 0.000 0.000 0.694 x2



VASP calculation (PBE-GGA) on a relaxed URh4Au crystal.

Calculated values
- DFT total energy: -182.1 eV for the cell shown

Unit cell a=7.379 b=7.379 c=7.379 alpha=90.00 beta=90.00 gamma=90.00
Space group F-43m (No. 216)
Symmetry-distinct sites (fractional):
U1 0.000 0.000 0.000 x4
Rh1 0.125 0.125 0.625 x16
Au1 0.250 0.250 0.250 x4



VASP calculation (PBE-GGA) on a relaxed URhAu crystal.

Calculated values
- ΔE to the lowest computed polymorph: 0 kJ/mol of formula units

Unit cell a=3.072 b=15.529 c=4.833 alpha=90.00 beta=90.00 gamma=90.00
Space group Cmcm (No. 63)
Symmetry-distinct sites (fractional):
U1 0.000 0.097 0.250 x4
Rh1 0.000 0.442 0.250 x4
Au1 0.000 0.222 0.750 x4



VASP calculation (PBE-GGA) on a relaxed VRhAu2 crystal.

Calculated values
- DFT total energy: -90.4 eV for the cell shown

Unit cell a=6.377 b=6.377 c=6.377 alpha=90.00 beta=90.00 gamma=90.00
Space group Fm-3m (No. 225)
Symmetry-distinct sites (fractional):
V1 0.000 0.000 0.000 x4
Rh1 0.000 0.000 0.500 x4
Au1 0.250 0.250 0.250 x8



VASP calculation (PBE-GGA) on a relaxed V4RhAu crystal.

Calculated values
- DFT total energy: -190.1 eV for the cell shown

Unit cell a=6.955 b=6.955 c=6.955 alpha=90.00 beta=90.00 gamma=90.00
Space group F-43m (No. 216)
Symmetry-distinct sites (fractional):
V1 0.125 0.125 0.125 x16
Rh1 0.000 0.000 0.500 x4
Au1 0.250 0.250 0.750 x4



Number 1: magnetization 0.0000 μB/atom. Number 2: magnetization 0.6341 μB/atom. Number 3: magnetization 0.0001 μB/atom. Number 4: magnetization 0.6694 μB/atom. Number 5: magnetization 0.4086 μB/atom. Number 6: magnetization 0.0000 μB/atom.